Compound: PrUZn4
Source: the Alexandria database
Functional: PBE-GGA
Structure: relaxed

Structure (extended XYZ):
```
6
Lattice="-2.658 3.275 -3.555 -1.378 -1.894 -4.994 -5.291 -0.971 -1.218" Properties=species:S:1:pos:R:3 pbc="T T T"
Pr -2.332 0.102 -2.442
Zn -3.179 0.743 -5.497
Zn -5.142 1.206 -3.603
Zn -5.833 0.256 -6.108
Zn -4.500 -1.386 -4.325
U 0.000 0.000 0.000
```

Calculated values
The energy of formation from the pure elements comes out at -0.035 eV per atom. The calculation puts the density of states at the Fermi level at 8.931 states/eV/f.u. As for the space group: No. 216.